Entry 1:
The following is a PBEsol calculation of MgTcNi6 after structural relaxation, from Alexandria.

The structure in POSCAR format:
```
MgTcNi6
1.0
6.170 0.007 0.000
-2.048 5.821 0.000
0.000 0.000 10.072
Mg Ni Tc
4 24 4
Cartesian
0.021 4.357 0.000
4.101 1.471 0.000
2.061 2.914 7.556
2.061 2.914 2.516
-0.024 4.389 7.483
4.128 3.685 8.780
-0.005 2.143 8.780
4.147 1.439 7.483
2.022 0.709 8.780
2.100 5.119 8.780
2.061 2.914 5.036
-0.042 2.160 6.266
2.051 0.679 6.266
-0.024 4.389 2.589
4.165 3.668 3.806
-0.042 2.160 3.806
4.147 1.439 2.589
2.051 0.679 3.806
2.072 5.149 3.806
2.061 2.914 0.000
-0.005 2.143 1.293
2.022 0.709 1.293
0.000 0.000 5.036
2.072 5.149 6.266
4.165 3.668 6.266
0.000 0.000 0.000
2.100 5.119 1.293
4.128 3.685 1.293
0.043 4.342 5.036
4.079 1.486 5.036
0.000 0.000 7.625
0.000 0.000 2.447
```

Summary:
N(E_F) = 30.912 states/eV per cell
DFT formation energy = -4.0 kJ per mole of atoms
VASP energy = -6.283 eV per atom
Total moment = 0.0 μB per formula unit

Entry 2:
The following is a PBEsol calculation of MgNiTe2 after structural relaxation, from Alexandria.

The structure in POSCAR format:
```
MgNiTe2
1.0
3.515 0.000 0.000
0.000 3.872 0.000
-1.757 -1.936 6.351
Mg Ni Te
1 1 2
Cartesian
0.000 0.000 5.707
1.757 0.000 2.722
0.000 0.000 0.753
0.000 1.936 3.519
```

Summary:
ΔE to the lowest computed polymorph = 171 meV/atom
N(E_F) = 2.483 states/eV per cell
VASP energy = -3.891 eV per atom
Total moment = 0.0 μB per formula unit
Formation energy from raw total energies = -0.6 eV/f.u.

Entry 3:
The following is a PBEsol calculation of MgNiTe2 after structural relaxation, from Alexandria.

The structure in POSCAR format:
```
MgNiTe2
1.0
-0.616 4.759 0.678
-2.870 -2.389 -3.161
-4.661 -0.758 1.090
Mg Ni Te
1 1 2
Cartesian
-2.638 2.000 0.884
0.000 0.000 0.000
-2.754 -0.194 -1.138
-5.393 1.806 -0.254
```

Summary:
ΔE to the lowest computed polymorph = 446 meV/atom
N(E_F) = 3.920 states/eV per cell
VASP energy = -3.617 eV per atom
Total moment = 0.0 μB per formula unit
Formation energy from raw total energies = 0.5 eV/f.u.

Entry 4:
The following is a PBEsol calculation of Mg2NiTe after structural relaxation, from Alexandria.

The structure in POSCAR format:
```
Mg2NiTe
1.0
3.866 0.000 0.000
0.000 3.956 0.000
-1.933 0.000 5.139
Mg Ni Te
2 1 1
Cartesian
0.000 0.000 0.854
0.000 1.978 4.132
1.933 0.000 3.420
1.933 1.978 1.911
```

Summary:
N(E_F) = 1.480 states/eV per cell
VASP energy = -3.536 eV per atom
Total moment = 0.0 μB per formula unit
Formation energy from raw total energies = -1.0 eV/f.u.

Entry 5:
The following is a PBEsol calculation of MgNiTe2 after structural relaxation, from Alexandria.

The structure in POSCAR format:
```
MgNiTe2
1.0
-0.373 -3.091 2.281
2.989 -1.203 2.124
-1.111 2.516 6.494
Mg Ni Te
1 1 2
Cartesian
0.753 -0.889 5.449
0.000 0.000 0.000
0.461 -0.613 2.510
1.044 -1.165 8.389
```

Summary:
ΔE to the lowest computed polymorph = 0 meV/atom
N(E_F) = 2.399 states/eV per cell
VASP energy = -4.063 eV per atom
Total moment = 0.0 μB per formula unit
Formation energy from raw total energies = -1.3 eV/f.u.

Entry 6:
The following is a PBEsol calculation of MgNiTe2 after structural relaxation, from Alexandria.

The structure in POSCAR format:
```
MgNiTe2
1.0
3.589 0.000 0.000
0.000 3.589 0.000
0.000 0.000 6.928
Mg Ni Te
1 1 2
Cartesian
0.000 0.000 3.549
1.795 1.795 5.138
0.000 0.000 6.236
1.795 1.795 2.397
```

Summary:
ΔE to the lowest computed polymorph = 138 meV/atom
N(E_F) = 2.898 states/eV per cell
VASP energy = -3.925 eV per atom
Total moment = 0.3 μB per formula unit
Formation energy from raw total energies = -0.8 eV/f.u.

Q: The lowest VASP energy belongs to which entry?
A: MgTcNi6